Crystalline PaCd2CoO6 at its relaxed geometry, computed with GGA+U.

Cell and atoms, written as POSCAR:
```
PaCd2CoO6
1.0
5.504 0.000 0.000
2.752 4.767 0.000
2.752 1.589 4.850
Cd O Pa Co
2 6 1 1
Cartesian
5.504 3.178 1.151
2.752 1.589 4.198
6.035 1.664 3.990
3.927 3.476 3.990
4.329 1.292 1.360
4.458 5.139 1.360
7.725 3.104 1.360
6.551 4.395 3.990
8.256 4.767 2.675
2.752 1.589 0.250
```

Calculated values
DFT total energy ... -6.448 eV per atom
DOS(E_F) ... 0.00 states/eV/f.u.
Volume ... 127 Å³/f.u.
Total moment ... 0.000 μB/cell